VASP calculation (PBE-GGA) on a relaxed PrHoIr crystal.

Calculated values
As for the space group: Amm2, No. 38. The formation energy from the elements is -0.608 eV per atom. As for the density: 10.83 g/cm³. Its total DFT energy (no corrections) is -6.681 eV/atom. For the energy relative to the lowest polymorph listed for this composition, the calculation gives 0.00 eV per formula unit. The volume comes out at 458 Å³ per cell. The value obtained for the density of states at the Fermi level is 3.370 states/eV/f.u.

a = 7.549 Å, b = 9.313 Å, c = 8.857 Å
α = 121.72°, β = 115.22°, γ = 90.00°
Positions (direct):
Pr (0.753, 0.045, 0.590)
Pr (0.163, 0.955, 0.410)
Pr (0.343, 0.750, 0.000)
Pr (0.343, 0.250, 0.000)
Pr (0.163, 0.455, 0.410)
Pr (0.753, 0.545, 0.590)
Ho (0.013, 0.000, 0.000)
Ho (0.013, 0.500, 0.000)
Ho (0.494, 0.370, 0.740)
Ho (0.754, 0.630, 0.260)
Ho (0.754, 0.130, 0.260)
Ho (0.494, 0.870, 0.740)
Ir (0.753, 0.250, 0.000)
Ir (0.753, 0.750, 0.000)
Ir (0.420, 0.167, 0.333)
Ir (0.087, 0.833, 0.667)
Ir (0.087, 0.333, 0.667)
Ir (0.420, 0.667, 0.333)

***

VASP calculation (PBE-GGA) on a relaxed Li2NpZnO6 crystal.

Calculated values
As for the space group: P1, No. 1. As for the density: 6.06 g/cm³. Its total DFT energy (no corrections) is -6.739 eV/atom. The volume comes out at 113 Å³ per cell. Its energy relative to the elements, uncorrected is -1891 kJ/mol of formula units. The value obtained for the density of states at the Fermi level is 7.980 states/eV/f.u.

a = 5.258 Å, b = 5.264 Å, c = 5.609 Å
α = 61.92°, β = 61.94°, γ = 60.01°
Positions (direct):
Li (0.536, 0.536, 0.391)
Li (0.024, 0.023, 0.930)
Np (0.322, 0.322, 0.033)
Zn (0.818, 0.818, 0.548)
O (0.584, 0.207, 0.262)
O (0.206, 0.946, 0.262)
O (0.947, 0.585, 0.261)
O (0.431, 0.700, 0.776)
O (0.699, 0.094, 0.777)
O (0.095, 0.430, 0.776)

***

VASP calculation (PBE-GGA) on a relaxed Mg2ZrTa crystal.

Calculated values
As for the space group: Cmm2, No. 35. The formation energy from the elements is 0.095 eV per atom. As for the density: 6.30 g/cm³. Its total DFT energy (no corrections) is -5.802 eV/atom. For the energy relative to the lowest polymorph listed for this composition, the calculation gives 0.00 eV per formula unit. The volume comes out at 85 Å³ per cell. The value obtained for the density of states at the Fermi level is 3.063 states/eV/f.u.

a = 2.972 Å, b = 2.972 Å, c = 9.755 Å
α = 90.00°, β = 90.00°, γ = 101.08°
Positions (direct):
Mg (0.000, 0.000, 0.002)
Mg (0.500, 0.500, 0.261)
Ta (0.000, 0.000, 0.503)
Zr (0.500, 0.500, 0.733)

***

VASP calculation (PBE-GGA) on a relaxed La3ThMg2 crystal.

Calculated values
As for the space group: P4/mmm, No. 123. The formation energy from the elements is -0.069 eV per atom. As for the density: 6.04 g/cm³. Its total DFT energy (no corrections) is -4.301 eV/atom. The volume comes out at 192 Å³ per cell. The value obtained for the density of states at the Fermi level is 6.332 states/eV/f.u.

a = 3.683 Å, b = 3.683 Å, c = 14.129 Å
α = 90.00°, β = 90.00°, γ = 90.00°
Positions (direct):
La (0.000, 0.000, 0.000)
La (0.000, 0.000, 0.672)
La (0.000, 0.000, 0.328)
Th (0.500, 0.500, 0.500)
Mg (0.500, 0.500, 0.839)
Mg (0.500, 0.500, 0.161)

***

VASP calculation (PBE-GGA) on a relaxed Rb2Ce2AuSe6 crystal.

Calculated values
As for the space group: C2/m, No. 12. As for the density: 4.93 g/cm³. Its total DFT energy (no corrections) is -4.642 eV/atom. The volume comes out at 378 Å³ per cell. Its energy relative to the elements, uncorrected is -1262 kJ/mol of formula units. The value obtained for the density of states at the Fermi level is 6.141 states/eV/f.u.

a = 7.376 Å, b = 7.376 Å, c = 8.554 Å
α = 97.12°, β = 97.12°, γ = 122.79°
Positions (direct):
Rb (0.843, 0.157, 0.000)
Rb (0.157, 0.843, 0.000)
Ce (0.334, 0.666, 0.500)
Ce (0.666, 0.334, 0.500)
Au (0.000, 0.000, 0.500)
Se (0.754, 0.754, 0.675)
Se (0.060, 0.417, 0.698)
Se (0.246, 0.246, 0.325)
Se (0.417, 0.060, 0.698)
Se (0.940, 0.583, 0.302)
Se (0.583, 0.940, 0.302)

***

VASP calculation (PBE-GGA) on a relaxed TiMn2B4 crystal.

Calculated values
As for the space group: Immm, No. 71. The formation energy from the elements is -0.698 eV per atom. As for the density: 5.62 g/cm³. Its total DFT energy (no corrections) is -8.261 eV/atom. The volume comes out at 59 Å³ per cell. The value obtained for the density of states at the Fermi level is 2.908 states/eV/f.u.

a = 2.989 Å, b = 3.101 Å, c = 6.759 Å
α = 103.26°, β = 102.77°, γ = 90.00°
Each line ends with the local moment (μB).
Positions (direct):
B (0.644, 0.644, 0.288)  -0.07
B (0.356, 0.356, 0.712)  -0.07
B (0.070, 0.570, 0.139)  -0.02
B (0.930, 0.430, 0.861)  -0.02
Mn (0.813, 0.813, 0.627)  2.03
Mn (0.187, 0.187, 0.373)  2.03
Ti (0.500, 0.000, 0.000)  -0.01

***

VASP calculation (PBE-GGA) on a relaxed La5YHoEr2 crystal.

Calculated values
As for the space group: Cmc2_1, No. 36. The formation energy from the elements is 0.136 eV per atom. As for the density: 6.69 g/cm³. Its total DFT energy (no corrections) is -4.842 eV/atom. The volume comes out at 637 Å³ per cell. The value obtained for the density of states at the Fermi level is 14.582 states/eV/f.u.

a = 5.675 Å, b = 10.773 Å, c = 10.795 Å
α = 90.00°, β = 90.00°, γ = 105.27°
Positions (direct):
La (0.380, 0.761, 0.017)
La (0.723, 0.446, 0.819)
La (0.489, 0.978, 0.746)
La (0.296, 0.591, 0.709)
La (0.986, 0.972, 0.509)
La (0.620, 0.239, 0.517)
La (0.277, 0.554, 0.319)
La (0.511, 0.022, 0.246)
La (0.704, 0.409, 0.209)
La (0.014, 0.028, 0.009)
Y (0.803, 0.605, 0.514)
Y (0.197, 0.395, 0.014)
Ho (0.596, 0.191, 0.972)
Ho (0.404, 0.809, 0.472)
Er (0.888, 0.776, 0.796)
Er (0.115, 0.230, 0.742)
Er (0.112, 0.224, 0.296)
Er (0.885, 0.770, 0.242)

***

VASP calculation (PBE-GGA) on a relaxed TaCuRu2 crystal.

Calculated values
As for the space group: Immm, No. 71. The formation energy from the elements is 0.065 eV per atom. As for the density: 12.45 g/cm³. Its total DFT energy (no corrections) is -8.560 eV/atom. The volume comes out at 60 Å³ per cell. The value obtained for the density of states at the Fermi level is 3.573 states/eV/f.u.

a = 5.067 Å, b = 5.067 Å, c = 5.067 Å
α = 144.57°, β = 126.89°, γ = 65.47°
Positions (direct):
Cu (0.250, 0.750, 0.500)
Ru (0.990, 0.990, 0.000)
Ru (0.510, 0.510, 0.000)
Ta (0.750, 0.250, 0.500)

***

VASP calculation (PBE-GGA) on a relaxed LiNi2Br crystal.

Calculated values
As for the space group: Cm, No. 8. As for the density: 4.91 g/cm³. Its total DFT energy (no corrections) is -3.685 eV/atom. For the energy relative to the lowest polymorph listed for this composition, the calculation gives 0.43 eV per formula unit. The volume comes out at 69 Å³ per cell. Its energy relative to the elements, uncorrected is 39 kJ/mol of formula units. The value obtained for the density of states at the Fermi level is 5.558 states/eV/f.u.

a = 3.811 Å, b = 3.811 Å, c = 6.613 Å
α = 70.34°, β = 70.34°, γ = 50.75°
Each line ends with the local moment (μB).
Positions (direct):
Br (0.440, 0.440, 0.487)  0.04
Li (0.229, 0.229, 0.243)  0.00
Ni (0.042, 0.042, 0.957)  0.75
Ni (0.790, 0.790, 0.813)  0.77

***

VASP calculation (PBE-GGA) on a relaxed NiSbTe2Pt crystal.

Calculated values
As for the space group: P4/mmm, No. 123. As for the density: 7.06 g/cm³. Its total DFT energy (no corrections) is -3.616 eV/atom. For the energy relative to the lowest polymorph listed for this composition, the calculation gives 1.33 eV per formula unit. The volume comes out at 148 Å³ per cell. Its energy relative to the elements, uncorrected is 400 kJ/mol of formula units. The value obtained for the density of states at the Fermi level is 7.972 states/eV/f.u.

a = 5.416 Å, b = 5.416 Å, c = 5.060 Å
α = 90.00°, β = 90.00°, γ = 90.00°
Each line ends with the local moment (μB).
Positions (direct):
Sb (0.000, 0.000, 0.500)  0.01
Te (0.000, 0.500, 0.000)  0.07
Te (0.500, 0.000, 0.000)  0.07
Pt (0.000, 0.000, 0.000)  0.01
Ni (0.500, 0.500, 0.500)  0.84

***

VASP calculation (PBE-GGA) on a relaxed Na3Ho2ZrO6 crystal.

Calculated values
As for the space group: C2/m, No. 12. As for the density: 5.98 g/cm³. Its total DFT energy (no corrections) is -6.931 eV/atom. The volume comes out at 163 Å³ per cell. Its energy relative to the elements, uncorrected is -3065 kJ/mol of formula units. The value obtained for the density of states at the Fermi level is 3.597 states/eV/f.u.

a = 5.780 Å, b = 5.780 Å, c = 5.941 Å
α = 99.33°, β = 99.33°, γ = 119.97°
Positions (direct):
Na (0.164, 0.836, 0.500)
Na (0.836, 0.164, 0.500)
Na (0.500, 0.500, 0.500)
Ho (0.333, 0.667, 0.000)
Ho (0.667, 0.333, 0.000)
Zr (0.000, 0.000, 0.000)
O (0.928, 0.607, 0.785)
O (0.750, 0.750, 0.213)
O (0.072, 0.393, 0.215)
O (0.607, 0.928, 0.785)
O (0.250, 0.250, 0.787)
O (0.393, 0.072, 0.215)

***

VASP calculation (PBE-GGA) on a relaxed InHg2Pb8 crystal.

Calculated values
As for the space group: C2/m, No. 12. The formation energy from the elements is 0.037 eV per atom. As for the density: 10.62 g/cm³. Its total DFT energy (no corrections) is -2.964 eV/atom. For the energy relative to the lowest polymorph listed for this composition, the calculation gives 0.00 eV per formula unit. The volume comes out at 340 Å³ per cell. The value obtained for the density of states at the Fermi level is 4.953 states/eV/f.u.

a = 5.130 Å, b = 9.249 Å, c = 8.876 Å
α = 120.98°, β = 106.80°, γ = 90.00°
Positions (direct):
In (0.500, 0.000, 0.000)
Hg (0.186, 0.686, 0.372)
Hg (0.814, 0.314, 0.628)
Pb (0.659, 0.888, 0.318)
Pb (0.340, 0.568, 0.680)
Pb (0.151, 0.151, 0.302)
Pb (0.000, 0.287, 0.000)
Pb (0.849, 0.849, 0.698)
Pb (0.660, 0.432, 0.320)
Pb (0.341, 0.112, 0.682)
Pb (0.000, 0.713, 0.000)

***

VASP calculation (PBE-GGA) on a relaxed LiAuBr4 crystal.

Calculated values
As for the space group: F-43m, No. 216. As for the density: 4.93 g/cm³. Its total DFT energy (no corrections) is -1.594 eV/atom. The volume comes out at 176 Å³ per cell. Its energy relative to the elements, uncorrected is 224 kJ/mol of formula units. The value obtained for the density of states at the Fermi level is 6.792 states/eV/f.u.

a = 6.294 Å, b = 6.294 Å, c = 6.294 Å
α = 60.00°, β = 60.00°, γ = 60.00°
Positions (direct):
Li (0.750, 0.750, 0.750)
Au (0.000, 0.000, 0.000)
Br (0.879, 0.374, 0.374)
Br (0.374, 0.374, 0.879)
Br (0.374, 0.879, 0.374)
Br (0.374, 0.374, 0.374)